Entry 1
Material: CeHoH2
Method: DFT, PBE
State: relaxed

Results
M_tot (Bohr magnetons per cell): 0.8
Density of states at the Fermi level (states/eV/f.u.): 5.3

Cell lengths 3.469, 3.469, 6.156 Å; angles 73.64, 73.64, 60.00 degrees
Last column: magnetic moment on the atom in μB.
Atoms (fractional coordinates):
H (0.746, 0.746, 0.763)  0.00
H (0.254, 0.254, 0.237)  0.00
Ce (0.500, 0.500, 0.500)  0.56
Ho (0.000, 0.000, 0.000)  0.09

---

Entry 2
Material: CeHoH2
Method: DFT, PBE
State: relaxed

Results
M_tot (Bohr magnetons per cell): 0.8
Density of states at the Fermi level (states/eV/f.u.): 4.1

Cell lengths 3.399, 3.399, 6.372 Å; angles 74.53, 74.53, 60.00 degrees
Last column: magnetic moment on the atom in μB.
Atoms (fractional coordinates):
Ho (0.669, 0.669, 0.992)  0.09
H (0.261, 0.261, 0.216)  0.00
H (0.075, 0.075, 0.774)  0.00
Ce (0.494, 0.494, 0.518)  0.58

---

Relative energies with respect to the most stable structure, expressed in meV/atom: entry 1 0; entry 2 78.

---

Entry 1
Material: Ce2HoH
Method: DFT, PBE
State: relaxed

Results
M_tot (Bohr magnetons per cell): 0.0
Density of states at the Fermi level (states/eV/f.u.): 9.3

Cell lengths 3.227, 3.227, 8.443 Å; angles 90.00, 90.00, 90.00 degrees
Atoms (fractional coordinates):
Ce (0.000, 0.000, 0.164)
Ce (0.000, 0.000, 0.836)
H (0.500, 0.500, 0.000)
Ho (0.500, 0.500, 0.500)

---

Entry 2
Material: Ce2HoH
Method: DFT, PBE
State: relaxed

Results
M_tot (Bohr magnetons per cell): 1.5
Density of states at the Fermi level (states/eV/f.u.): 8.9

Cell lengths 3.444, 3.444, 9.114 Å; angles 79.11, 79.11, 60.00 degrees
Last column: magnetic moment on the atom in μB.
Atoms (fractional coordinates):
Ho (0.500, 0.500, 0.500)  0.04
Ce (0.723, 0.723, 0.830)  0.57
Ce (0.277, 0.277, 0.170)  0.57
H (0.000, 0.000, 0.000)  0.00

---

Relative energies with respect to the most stable structure, expressed in meV/atom: entry 1 142; entry 2 0.

---

Entry 1
Material: Ce3InH3
Method: DFT, PBE
State: relaxed

Results
M_tot (Bohr magnetons per cell): 6.4
Density of states at the Fermi level (states/eV/f.u.): 17.6

Cell lengths 6.536, 6.536, 8.763 Å; angles 68.10, 68.10, 60.00 degrees
Last column: magnetic moment on the atom in μB.
Atoms (fractional coordinates):
Ce (0.781, 0.419, 0.695)  0.83
Ce (0.581, 0.896, 0.305)  0.83
Ce (0.896, 0.219, 0.305)  0.83
Ce (0.419, 0.104, 0.695)  0.83
Ce (0.104, 0.781, 0.695)  0.83
Ce (0.219, 0.581, 0.305)  0.83
In (0.333, 0.333, 0.001)  -0.01
In (0.667, 0.667, 0.999)  -0.01
H (0.484, 0.787, 0.597)  -0.01
H (0.787, 0.132, 0.597)  -0.01
H (0.132, 0.484, 0.597)  -0.01
H (0.516, 0.213, 0.403)  -0.01
H (0.213, 0.868, 0.403)  -0.01
H (0.868, 0.516, 0.403)  -0.01

---

Entry 2
Material: Ce3InH3
Method: DFT, PBE
State: relaxed

Results
M_tot (Bohr magnetons per cell): 7.8
Density of states at the Fermi level (states/eV/f.u.): 14.0

Cell lengths 6.433, 6.433, 6.433 Å; angles 90.00, 90.00, 90.00 degrees
Last column: magnetic moment on the atom in μB.
Atoms (fractional coordinates):
H (0.750, 0.000, 0.500)  -0.01
H (0.250, 0.000, 0.500)  -0.01
H (0.500, 0.250, 0.000)  -0.01
H (0.000, 0.500, 0.750)  -0.01
H (0.500, 0.750, 0.000)  -0.01
H (0.000, 0.500, 0.250)  -0.01
In (0.500, 0.500, 0.500)  -0.06
In (0.000, 0.000, 0.000)  -0.06
Ce (0.000, 0.250, 0.500)  1.00
Ce (0.750, 0.500, 0.000)  1.00
Ce (0.500, 0.000, 0.250)  1.00
Ce (0.250, 0.500, 0.000)  1.00
Ce (0.000, 0.750, 0.500)  1.00
Ce (0.500, 0.000, 0.750)  1.00

---

Relative energies with respect to the most stable structure, expressed in meV/atom: entry 1 123; entry 2 0.

---

Entry 1
Material: CeHIr
Method: DFT, PBE
State: relaxed

Results
M_tot (Bohr magnetons per cell): 0.2
Density of states at the Fermi level (states/eV/f.u.): 3.0

Cell lengths 4.095, 4.095, 4.773 Å; angles 54.39, 54.38, 84.10 degrees
Last column: magnetic moment on the atom in μB.
Atoms (fractional coordinates):
H (0.220, 0.789, 0.704)  0.00
Ce (0.220, 0.789, 0.204)  0.22
Ir (0.720, 0.289, 0.204)  -0.02

---

Entry 2
Material: CeHIr
Method: DFT, PBE
State: relaxed

Results
M_tot (Bohr magnetons per cell): 0.0
Density of states at the Fermi level (states/eV/f.u.): 0.9

Cell lengths 3.554, 3.946, 3.946 Å; angles 120.00, 90.00, 90.00 degrees
Atoms (fractional coordinates):
Ce (0.666, 0.333, 0.667)
Ir (0.166, 0.000, 0.000)
H (0.167, 0.667, 0.333)

---

Entry 3
Material: CeHIr
Method: DFT, PBE
State: relaxed

Results
M_tot (Bohr magnetons per cell): 0.0
Density of states at the Fermi level (states/eV/f.u.): 3.4

Cell lengths 3.933, 3.937, 6.905 Å; angles 90.00, 106.49, 90.00 degrees
Atoms (fractional coordinates):
Ir (0.252, 0.750, 0.005)
Ir (0.748, 0.250, 0.995)
Ce (0.413, 0.250, 0.323)
Ce (0.587, 0.750, 0.677)
H (0.771, 0.750, 0.041)
H (0.229, 0.250, 0.959)

---

Relative energies with respect to the most stable structure, expressed in meV/atom: entry 1 0; entry 2 158; entry 3 392.

---

Entry 1
Material: CeH2Ir
Method: DFT, PBE
State: relaxed

Results
M_tot (Bohr magnetons per cell): 0.0
Density of states at the Fermi level (states/eV/f.u.): 2.1

Cell lengths 4.178, 3.822, 6.462 Å; angles 107.16, 90.00, 90.00 degrees
Atoms (fractional coordinates):
Ce (0.750, 0.352, 0.704)
Ce (0.250, 0.648, 0.296)
Ir (0.250, 0.931, 0.862)
Ir (0.750, 0.069, 0.138)
H (0.750, 0.561, 0.122)
H (0.250, 0.439, 0.878)
H (0.250, 0.253, 0.507)
H (0.750, 0.747, 0.493)

---

Entry 2
Material: CeH2Ir
Method: DFT, PBE
State: relaxed

Results
M_tot (Bohr magnetons per cell): 5.2
Density of states at the Fermi level (states/eV/f.u.): 3.6

Cell lengths 3.439, 19.072, 3.589 Å; angles 90.00, 90.00, 90.00 degrees
Last column: magnetic moment on the atom in μB.
Atoms (fractional coordinates):
H (0.750, 0.805, 0.247)  0.00
H (0.750, 0.299, 0.755)  0.00
H (0.250, 0.195, 0.753)  0.00
H (0.750, 0.201, 0.255)  0.00
H (0.750, 0.695, 0.747)  0.00
H (0.250, 0.701, 0.245)  0.00
H (0.250, 0.305, 0.253)  0.00
H (0.250, 0.799, 0.745)  0.00
Ir (0.250, 0.317, 0.753)  -0.02
Ir (0.250, 0.183, 0.253)  -0.02
Ir (0.750, 0.683, 0.247)  -0.02
Ir (0.750, 0.817, 0.747)  -0.02
Ce (0.750, 0.575, 0.748)  0.87
Ce (0.250, 0.075, 0.752)  0.87
Ce (0.750, 0.925, 0.248)  0.87
Ce (0.250, 0.425, 0.252)  0.87

---

Relative energies with respect to the most stable structure, expressed in meV/atom: entry 1 0; entry 2 497.

---

Entry 1
Material: CeH4Ir
Method: DFT, PBE
State: relaxed

Results
M_tot (Bohr magnetons per cell): 1.9
Density of states at the Fermi level (states/eV/f.u.): 5.7

Cell lengths 4.535, 4.544, 7.301 Å; angles 104.82, 90.00, 119.93 degrees
Last column: magnetic moment on the atom in μB.
Atoms (fractional coordinates):
H (0.674, 0.942, 0.086)  0.00
H (0.326, 0.058, 0.914)  0.00
H (0.269, 0.942, 0.586)  0.00
H (0.731, 0.058, 0.414)  0.00
H (0.862, 0.591, 0.902)  0.00
H (0.271, 0.409, 0.598)  0.00
H (0.138, 0.409, 0.098)  0.00
H (0.729, 0.591, 0.402)  0.00
Ir (0.000, 0.500, 0.500)  -0.01
Ir (0.500, 0.500, 0.000)  -0.01
Ce (0.213, 0.000, 0.250)  0.85
Ce (0.787, 0.000, 0.750)  0.85

---

Entry 2
Material: CeH4Ir
Method: DFT, PBE
State: relaxed

Results
M_tot (Bohr magnetons per cell): 1.8
Density of states at the Fermi level (states/eV/f.u.): 6.9

Cell lengths 3.885, 4.995, 6.443 Å; angles 90.00, 107.55, 90.00 degrees
Last column: magnetic moment on the atom in μB.
Atoms (fractional coordinates):
H (0.803, 0.988, 0.605)  0.00
H (0.398, 0.250, 0.795)  0.00
H (0.602, 0.750, 0.205)  0.00
H (0.000, 0.000, 0.000)  0.00
H (0.000, 0.500, 0.000)  0.00
H (0.197, 0.488, 0.395)  0.00
H (0.803, 0.512, 0.605)  0.00
H (0.197, 0.012, 0.395)  0.00
Ce (0.372, 0.750, 0.745)  0.82
Ce (0.628, 0.250, 0.255)  0.82
Ir (0.892, 0.250, 0.784)  0.00
Ir (0.108, 0.750, 0.216)  0.00

---

Relative energies with respect to the most stable structure, expressed in meV/atom: entry 1 0; entry 2 51.

---

Entry 1
Material: LaCeH2
Method: DFT, PBE
State: relaxed

Results
M_tot (Bohr magnetons per cell): 0.9
Density of states at the Fermi level (states/eV/f.u.): 5.7

Cell lengths 3.627, 3.627, 6.318 Å; angles 73.32, 73.32, 60.00 degrees
Last column: magnetic moment on the atom in μB.
Atoms (fractional coordinates):
H (0.246, 0.246, 0.262)  0.00
H (0.754, 0.754, 0.738)  0.00
La (0.000, 0.000, 0.000)  0.02
Ce (0.500, 0.500, 0.500)  0.72

---

Entry 2
Material: LaCeH2
Method: DFT, PBE
State: relaxed

Results
M_tot (Bohr magnetons per cell): 0.8
Density of states at the Fermi level (states/eV/f.u.): 5.6

Cell lengths 3.525, 3.525, 6.628 Å; angles 74.58, 74.58, 60.00 degrees
Last column: magnetic moment on the atom in μB.
Atoms (fractional coordinates):
H (0.260, 0.260, 0.220)  0.00
H (0.077, 0.077, 0.768)  0.00
La (0.495, 0.495, 0.514)  0.04
Ce (0.667, 0.667, 0.998)  0.60

---

Relative energies with respect to the most stable structure, expressed in meV/atom: entry 1 0; entry 2 106.

---

Entry 1
Material: LiCeH
Method: DFT, PBE
State: relaxed

Results
M_tot (Bohr magnetons per cell): 0.0
Density of states at the Fermi level (states/eV/f.u.): 3.1

Cell lengths 3.064, 3.064, 5.926 Å; angles 90.00, 90.00, 120.00 degrees
Atoms (fractional coordinates):
H (0.333, 0.667, 0.696)
Ce (0.667, 0.333, 0.413)
Li (0.000, 0.000, 0.891)

---

Entry 2
Material: LiCeH
Method: DFT, PBE
State: relaxed

Results
M_tot (Bohr magnetons per cell): 0.0
Density of states at the Fermi level (states/eV/f.u.): 3.5

Cell lengths 3.132, 3.536, 10.427 Å; angles 88.85, 90.42, 63.77 degrees
Atoms (fractional coordinates):
H (0.561, 0.743, 0.960)
H (0.419, 0.054, 0.446)
Ce (0.885, 0.102, 0.101)
Ce (0.718, 0.451, 0.334)
Li (0.135, 0.588, 0.841)
Li (0.419, 0.015, 0.617)

---

Relative energies with respect to the most stable structure, expressed in meV/atom: entry 1 16; entry 2 0.

---

Entry 1
Material: LiCeH4
Method: DFT, PBE
State: relaxed

Results
M_tot (Bohr magnetons per cell): 0.6
Density of states at the Fermi level (states/eV/f.u.): 5.6

Cell lengths 3.679, 3.679, 5.059 Å; angles 89.94, 89.97, 90.00 degrees
Last column: magnetic moment on the atom in μB.
Atoms (fractional coordinates):
H (0.002, 0.498, 0.737)  -0.01
H (0.501, 0.997, 0.260)  -0.01
H (0.502, 0.998, 0.737)  -0.01
H (0.001, 0.497, 0.260)  -0.01
Ce (0.501, 0.497, 0.998)  0.56
Li (0.001, 0.997, 0.498)  0.00

---

Entry 2
Material: LiCeH4
Method: DFT, PBE
State: relaxed

Results
M_tot (Bohr magnetons per cell): 2.0
Density of states at the Fermi level (states/eV/f.u.): 7.0

Cell lengths 3.585, 3.585, 8.865 Å; angles 90.00, 90.00, 90.00 degrees
Last column: magnetic moment on the atom in μB.
Atoms (fractional coordinates):
H (0.000, 0.000, 0.500)  -0.01
H (0.500, 0.000, 0.673)  -0.01
H (0.000, 0.500, 0.327)  -0.01
H (0.500, 0.500, 0.500)  -0.01
H (0.000, 0.000, 0.848)  -0.01
H (0.500, 0.500, 0.152)  -0.01
H (0.000, 0.000, 0.152)  -0.01
H (0.500, 0.500, 0.848)  -0.01
Li (0.000, 0.500, 0.090)  0.01
Li (0.500, 0.000, 0.910)  0.01
Ce (0.000, 0.500, 0.672)  0.89
Ce (0.500, 0.000, 0.328)  0.89

---

Relative energies with respect to the most stable structure, expressed in meV/atom: entry 1 145; entry 2 0.

---

Entry 1
Material: Ce2LuH
Method: DFT, PBE
State: relaxed

Results
M_tot (Bohr magnetons per cell): 0.8
Density of states at the Fermi level (states/eV/f.u.): 10.2

Cell lengths 3.231, 3.231, 8.375 Å; angles 90.00, 90.00, 90.00 degrees
Last column: magnetic moment on the atom in μB.
Atoms (fractional coordinates):
Lu (0.500, 0.500, 0.500)  0.09
H (0.500, 0.500, 0.000)  0.00
Ce (0.000, 0.000, 0.166)  0.27
Ce (0.000, 0.000, 0.834)  0.27

---

Entry 2
Material: Ce2LuH
Method: DFT, PBE
State: relaxed

Results
M_tot (Bohr magnetons per cell): 1.5
Density of states at the Fermi level (states/eV/f.u.): 8.8

Cell lengths 3.414, 3.414, 9.093 Å; angles 79.18, 79.18, 60.00 degrees
Last column: magnetic moment on the atom in μB.
Atoms (fractional coordinates):
Ce (0.276, 0.276, 0.172)  0.56
Ce (0.724, 0.724, 0.828)  0.56
Lu (0.500, 0.500, 0.500)  0.05
H (0.000, 0.000, 0.000)  0.00

---

Relative energies with respect to the most stable structure, expressed in meV/atom: entry 1 147; entry 2 0.

---

Entry 1
Material: CeMg2H6
Method: DFT, PBE
State: relaxed

Results
M_tot (Bohr magnetons per cell): 0.0
Density of states at the Fermi level (states/eV/f.u.): 2.7

Cell lengths 5.414, 5.414, 5.414 Å; angles 60.00, 60.00, 60.00 degrees
Atoms (fractional coordinates):
H (0.280, 0.720, 0.720)
H (0.280, 0.720, 0.280)
H (0.720, 0.280, 0.720)
H (0.720, 0.720, 0.280)
H (0.720, 0.280, 0.280)
H (0.280, 0.280, 0.720)
Mg (0.250, 0.250, 0.250)
Mg (0.750, 0.750, 0.750)
Ce (0.000, 0.000, 0.000)

---

Entry 2
Material: CeMg2H6
Method: DFT, PBE
State: relaxed

Results
M_tot (Bohr magnetons per cell): 0.8
Density of states at the Fermi level (states/eV/f.u.): 7.8

Cell lengths 4.789, 4.693, 4.693 Å; angles 120.00, 90.00, 90.00 degrees
Last column: magnetic moment on the atom in μB.
Atoms (fractional coordinates):
H (0.784, 0.507, 0.507)  0.00
H (0.784, 0.493, 0.000)  0.00
H (0.216, 0.000, 0.507)  0.00
H (0.216, 0.507, 0.000)  0.00
H (0.784, 0.000, 0.493)  0.00
H (0.216, 0.493, 0.493)  0.00
Ce (0.000, 0.000, 0.000)  0.76
Mg (0.500, 0.333, 0.667)  0.00
Mg (0.500, 0.667, 0.333)  0.00

---

Relative energies with respect to the most stable structure, expressed in meV/atom: entry 1 586; entry 2 0.